Compound: Na2MgWS4
Source: the Open Quantum Materials Database
Functional: PBE
Structure: optimized geometry

## Properties
- crystal system = monoclinic
- electronic total energy (Ry per atom) = -0.36815
- V (Å³/atom) = 25.20
- total moment (μB per formula unit) = 2.00

abc: 6.6509 6.6509 6.4549
angles: 119.01 119.01 93.35
Element x y z (fractional)
Na: 0.0000 0.0000 0.0000
Na: 0.7508 0.2492 0.5000
Mg: 0.2501 0.7499 0.5000
W: 0.5003 0.4997 0.0000
S: 0.1819 0.4278 0.0403
S: 0.3880 0.1415 0.5693
S: 0.5722 0.8181 0.9597
S: 0.8585 0.6120 0.4307